Here is a relaxed Tb6ErTh2 crystal from the Alexandria database. Energies are from PBE-GGA.

Values from the calculation:
- ΔE to the lowest computed polymorph: 0.0 meV per atom
- Energy of formation: 0.03 eV/atom

Unit cell a=5.0553 b=15.0851 c=15.0882 alpha=90.00 beta=90.00 gamma=90.00
With the nearest neighbours (Å) after each atom.
Space group Fmmm (No. 69)
Inequivalent atoms, fractional coordinates:
Tb 0.0000 0.0000 0.1649 (multiplicity 8)  2 Er 3.55, 2 Th 3.55, 8 Tb 3.57-3.62
Tb 0.0000 0.1668 0.3372 (multiplicity 16)  3 Th 3.50-3.52, 1 Er 3.52, 8 Tb 3.56-3.65
Er 0.0000 0.0000 0.5000 (multiplicity 4)  8 Tb 3.52-3.55, 4 Th 3.58
Th 0.0000 0.1682 0.0000 (multiplicity 8)  8 Tb 3.50-3.55, 2 Th 3.53, 2 Er 3.58